Entry 1:
Compound: Zn2RuW
Source: Alexandria
Functional: PBE
Structure: relaxed

Unit cell a=4.9482 b=4.9482 c=4.9482 alpha=135.47 beta=135.47 gamma=64.80
Closest atoms and distances in Å follow each position.
Fractional coordinates of all 4 atoms:
Zn (0.2500, 0.7500, 0.5000)  4 Zn 2.65, 4 W 2.81, 4 Ru 2.81
Zn (0.7500, 0.2500, 0.5000)  4 Zn 2.65, 4 W 2.81, 4 Ru 2.81
Ru (0.0000, 0.0000, 0.0000)  4 W 2.65, 8 Zn 2.81
W (0.5000, 0.5000, 0.0000)  4 Ru 2.65, 8 Zn 2.81

Summary:
- SG: I4/mmm, No. 139
- Crystal system: tetragonal
- Magnetization: 0.00 μB per formula unit
- ΔE to the lowest computed polymorph: 276.3 meV per atom
- ΔH_f (0 K): 1.19 eV per formula unit

Entry 2:
Compound: Pr3Se3O
Source: Alexandria
Functional: PBE
Structure: relaxed

Unit cell a=12.3061 b=4.1685 c=13.5056 alpha=90.00 beta=90.00 gamma=90.00
Closest atoms and distances in Å follow each position.
Fractional coordinates of all 28 atoms:
Pr (0.0240, 0.2500, 0.1595)  2 O 2.37
Pr (0.1038, 0.2500, 0.6125)  1 O 2.60
Pr (0.2397, 0.2500, 0.8708)  1 O 2.45
Pr (0.2603, 0.7500, 0.3708)  1 O 2.45
Pr (0.3962, 0.7500, 0.1125)  1 O 2.60
Pr (0.4760, 0.7500, 0.6595)  2 O 2.37
Pr (0.5240, 0.2500, 0.3405)  2 O 2.37
Pr (0.6038, 0.2500, 0.8875)  1 O 2.60
Pr (0.7397, 0.2500, 0.6292)  1 O 2.45
Pr (0.7603, 0.7500, 0.1292)  1 O 2.45
Pr (0.8962, 0.7500, 0.3875)  1 O 2.60
Pr (0.9760, 0.7500, 0.8405)  2 O 2.37
Se (0.0718, 0.2500, 0.3886)  6 Pr 3.00-3.15
Se (0.1447, 0.7500, 0.0100)  6 Pr 3.04-3.39
Se (0.2357, 0.7500, 0.7102)  5 Pr 2.95-3.04, 2 O 3.27
Se (0.2643, 0.2500, 0.2102)  5 Pr 2.95-3.04, 2 O 3.27
Se (0.3553, 0.2500, 0.5100)  6 Pr 3.04-3.39
Se (0.4282, 0.7500, 0.8886)  6 Pr 3.00-3.15
Se (0.5718, 0.2500, 0.1114)  6 Pr 3.00-3.15
Se (0.6447, 0.7500, 0.4900)  6 Pr 3.04-3.39
Se (0.7357, 0.7500, 0.7898)  5 Pr 2.95-3.04, 2 O 3.27
Se (0.7643, 0.2500, 0.2898)  5 Pr 2.95-3.04, 2 O 3.27
Se (0.8553, 0.2500, 0.9900)  6 Pr 3.04-3.39
Se (0.9282, 0.7500, 0.6114)  6 Pr 3.00-3.15
O (0.0563, 0.2500, 0.7997)  4 Pr 2.37-2.60
O (0.4437, 0.7500, 0.2997)  4 Pr 2.37-2.60
O (0.5563, 0.2500, 0.7003)  4 Pr 2.37-2.60
O (0.9437, 0.7500, 0.2003)  4 Pr 2.37-2.60

Summary:
- SG: Pnma, No. 62
- Crystal system: orthorhombic
- Magnetization: 0.00 μB per formula unit
- ΔE to the lowest computed polymorph: 0.0 meV per atom
- Uncorrected formation energy: -2.23 eV/atom

Entry 3:
Compound: BeAg2Rh
Source: Alexandria
Functional: PBE
Structure: relaxed

Unit cell a=3.3025 b=4.0853 c=4.3847 alpha=90.00 beta=90.00 gamma=90.00
Closest atoms and distances in Å follow each position.
Fractional coordinates of all 4 atoms:
Be (0.0000, 0.0000, 0.0000)  4 Rh 2.63, 4 Ag 2.74
Ag (0.0000, 0.5000, 0.5000)  4 Ag 2.63, 4 Rh 2.74
Ag (0.5000, 0.0000, 0.5000)  4 Ag 2.63, 4 Be 2.74
Rh (0.5000, 0.5000, 0.0000)  4 Be 2.63, 4 Ag 2.74

Summary:
- SG: Pmmm, No. 47
- Crystal system: orthorhombic
- Magnetization: 0.00 μB per formula unit
- ΔH_f (0 K): 0.64 eV per formula unit

Entry 4:
Compound: BaPu2TaO8
Source: Alexandria
Functional: PBE
Structure: relaxed

Unit cell a=5.1145 b=7.1157 c=5.1269 alpha=90.00 beta=92.08 gamma=90.00
Closest atoms and distances in Å follow each position.
Fractional coordinates of all 12 atoms:
Ba (0.0000, 0.0000, 0.0000)  6 O 2.51-2.58
Pu (0.5000, 0.2585, 0.5000)  6 O 2.17-2.32
Pu (0.5000, 0.7415, 0.5000)  6 O 2.17-2.32
Ta (0.0000, 0.5000, 0.0000)  6 O 1.98-2.13
O (0.1997, 0.3036, 0.1965)  1 Ta 1.98, 1 Pu 2.17
O (0.1997, 0.6964, 0.1965)  1 Ta 1.98, 1 Pu 2.17
O (0.2883, 0.5000, 0.7094)  1 Ta 2.13, 2 Pu 2.32
O (0.3361, 0.0000, 0.6563)  2 Pu 2.19, 1 O 2.36
O (0.6639, 0.0000, 0.3437)  2 Pu 2.19, 1 O 2.36
O (0.7117, 0.5000, 0.2906)  1 Ta 2.13, 2 Pu 2.32
O (0.8003, 0.3036, 0.8035)  1 Ta 1.98, 1 Pu 2.17
O (0.8003, 0.6964, 0.8035)  1 Ta 1.98, 1 Pu 2.17

Summary:
- SG: P2/m, No. 10
- Crystal system: monoclinic
- Magnetization: 7.00 μB per formula unit
- Uncorrected formation energy: -2.79 eV/atom

Entry 5:
Compound: Pr2HoMg2
Source: Alexandria
Functional: PBE
Structure: relaxed

Unit cell a=3.8559 b=5.5035 c=14.3583 alpha=90.00 beta=97.73 gamma=90.00
Closest atoms and distances in Å follow each position.
Fractional coordinates of all 10 atoms:
Pr (0.0455, 0.2500, 0.0904)  8 Mg 3.31-3.44
Pr (0.2356, 0.2500, 0.4730)  2 Mg 3.35-3.36, 4 Pr 3.44-3.45, 2 Ho 3.71
Pr (0.7644, 0.7500, 0.5270)  2 Mg 3.35-3.36, 4 Pr 3.44-3.45, 2 Ho 3.71
Pr (0.9545, 0.7500, 0.9096)  8 Mg 3.31-3.44
Ho (0.1498, 0.7500, 0.2985)  6 Mg 3.30-3.37
Ho (0.8502, 0.2500, 0.7015)  6 Mg 3.30-3.37
Mg (0.3599, 0.7500, 0.7201)  4 Pr 3.31-3.36, 4 Ho 3.37, 2 Mg 3.66
Mg (0.4451, 0.2500, 0.8899)  2 Ho 3.30, 6 Pr 3.37-3.44, 2 Mg 3.66
Mg (0.5549, 0.7500, 0.1101)  2 Ho 3.30, 6 Pr 3.37-3.44, 2 Mg 3.66
Mg (0.6401, 0.2500, 0.2799)  4 Pr 3.31-3.36, 4 Ho 3.37, 2 Mg 3.66

Summary:
- SG: P2_1/m, No. 11
- Crystal system: monoclinic
- Magnetization: 0.00 μB per formula unit
- ΔE to the lowest computed polymorph: 0.0 meV per atom
- ΔH_f (0 K): -0.31 eV per formula unit

Entry 6:
Compound: Mg4Cd4Hg
Source: Alexandria
Functional: PBE
Structure: relaxed

Unit cell a=6.7079 b=6.7079 c=9.8338 alpha=90.00 beta=90.00 gamma=90.00
Closest atoms and distances in Å follow each position.
Fractional coordinates of all 18 atoms:
Mg (0.0081, 0.7500, 0.0084)  5 Cd 2.98-3.07, 1 Hg 3.02, 1 Mg 3.25
Mg (0.2500, 0.5081, 0.4916)  5 Cd 2.98-3.07, 1 Hg 3.02, 1 Mg 3.25
Mg (0.2500, 0.9919, 0.4916)  5 Cd 2.98-3.07, 1 Hg 3.02, 1 Mg 3.25
Mg (0.4919, 0.7500, 0.0084)  5 Cd 2.98-3.07, 1 Hg 3.02, 1 Mg 3.25
Mg (0.5081, 0.2500, 0.9916)  5 Cd 2.98-3.07, 1 Hg 3.02, 1 Mg 3.25
Mg (0.7500, 0.0081, 0.5084)  5 Cd 2.98-3.07, 1 Hg 3.02, 1 Mg 3.25
Mg (0.7500, 0.4919, 0.5084)  5 Cd 2.98-3.07, 1 Hg 3.02, 1 Mg 3.25
Mg (0.9919, 0.2500, 0.9916)  5 Cd 2.98-3.07, 1 Hg 3.02, 1 Mg 3.25
Cd (0.0335, 0.2500, 0.6893)  3 Cd 2.90-2.94, 5 Mg 2.98-3.07
Cd (0.2500, 0.0335, 0.1893)  3 Cd 2.90-2.94, 5 Mg 2.98-3.07
Cd (0.2500, 0.4665, 0.1893)  3 Cd 2.90-2.94, 5 Mg 2.98-3.07
Cd (0.4665, 0.2500, 0.6893)  3 Cd 2.90-2.94, 5 Mg 2.98-3.07
Cd (0.5335, 0.7500, 0.3107)  3 Cd 2.90-2.94, 5 Mg 2.98-3.07
Cd (0.7500, 0.5335, 0.8107)  3 Cd 2.90-2.94, 5 Mg 2.98-3.07
Cd (0.7500, 0.9665, 0.8107)  3 Cd 2.90-2.94, 5 Mg 2.98-3.07
Cd (0.9665, 0.7500, 0.3107)  3 Cd 2.90-2.94, 5 Mg 2.98-3.07
Hg (0.2500, 0.7500, 0.7500)  4 Mg 3.02
Hg (0.7500, 0.2500, 0.2500)  4 Mg 3.02

Summary:
- SG: P4_2/nmc, No. 137
- Crystal system: tetragonal
- Magnetization: 0.00 μB per formula unit
- ΔE to the lowest computed polymorph: 94.0 meV per atom
- ΔH_f (0 K): 0.10 eV per formula unit

Entry 7:
Compound: KRb3Pd2F9
Source: Alexandria
Functional: PBE
Structure: relaxed

Unit cell a=6.2915 b=6.2915 c=7.8713 alpha=90.00 beta=90.00 gamma=120.00
Closest atoms and distances in Å follow each position.
Fractional coordinates of all 15 atoms:
K (0.0000, 0.0000, 0.0000)  6 F 2.50
Rb (0.0000, 0.0000, 0.5000)  12 F 3.06-3.15
Rb (0.3333, 0.6667, 0.1667)  12 F 3.16-3.34
Rb (0.6667, 0.3333, 0.8333)  12 F 3.16-3.34
Pd (0.3333, 0.6667, 0.6467)  6 F 2.08-2.15
Pd (0.6667, 0.3333, 0.3533)  6 F 2.08-2.15
F (0.0000, 0.5000, 0.5000)  2 Pd 2.15
F (0.1780, 0.3561, 0.8003)  1 Pd 2.08
F (0.1780, 0.8220, 0.8003)  1 Pd 2.08
F (0.3561, 0.1780, 0.1997)  1 Pd 2.08
F (0.5000, 0.0000, 0.5000)  2 Pd 2.15
F (0.5000, 0.5000, 0.5000)  2 Pd 2.15
F (0.6439, 0.8220, 0.8003)  1 Pd 2.08
F (0.8220, 0.1780, 0.1997)  1 Pd 2.08
F (0.8220, 0.6439, 0.1997)  1 Pd 2.08

Summary:
- SG: P-3m1, No. 164
- Crystal system: trigonal
- Magnetization: 0.54 μB per formula unit
- Uncorrected formation energy: -2.09 eV/atom

Entry 8:
Compound: LiMgO2
Source: Alexandria
Functional: PBE
Structure: relaxed

Unit cell a=5.1081 b=5.1081 c=5.1081 alpha=34.69 beta=34.69 gamma=34.69
Closest atoms and distances in Å follow each position.
Fractional coordinates of all 4 atoms:
Li (0.0000, 0.0000, 0.0000)  6 O 2.10-2.24
Mg (0.1768, 0.1768, 0.1768)  6 O 2.08-2.10
O (0.5871, 0.5871, 0.5871)  3 Mg 2.08, 3 Li 2.10
O (0.7632, 0.7632, 0.7632)  3 Mg 2.10, 3 Li 2.24

Summary:
- SG: R3m, No. 160
- Crystal system: trigonal
- Magnetization: 1.01 μB per formula unit
- Uncorrected formation energy: -1.82 eV/atom

Entry 9:
Compound: VRuPt
Source: Alexandria
Functional: PBE
Structure: relaxed

Unit cell a=2.7593 b=5.1640 c=6.5537 alpha=74.22 beta=89.95 gamma=74.52
Closest atoms and distances in Å follow each position.
Fractional coordinates of all 6 atoms:
V (0.1787, 0.1401, 0.1448)  5 Ru 2.60-2.77, 3 Pt 2.68-2.75, 2 V 2.76
V (0.8213, 0.8599, 0.8552)  5 Ru 2.60-2.77, 3 Pt 2.68-2.75, 2 V 2.76
Ru (0.4632, 0.5733, 0.1792)  5 V 2.60-2.77, 3 Ru 2.65-2.76, 4 Pt 2.71-2.89
Ru (0.5368, 0.4267, 0.8208)  5 V 2.60-2.77, 3 Ru 2.65-2.76, 4 Pt 2.71-2.89
Pt (0.1421, 0.2174, 0.5437)  3 V 2.68-2.75, 5 Pt 2.71-2.76, 4 Ru 2.71-2.89
Pt (0.8579, 0.7826, 0.4563)  3 V 2.68-2.75, 5 Pt 2.71-2.76, 4 Ru 2.71-2.89

Summary:
- SG: P-1, No. 2
- Crystal system: triclinic
- Magnetization: 0.00 μB per formula unit
- ΔE to the lowest computed polymorph: 0.0 meV per atom
- ΔH_f (0 K): -0.83 eV per formula unit

Entry 10:
Compound: Pr4MgPt2
Source: Alexandria
Functional: PBE
Structure: relaxed

Unit cell a=9.7830 b=8.8350 c=7.9340 alpha=71.15 beta=58.72 gamma=50.13
Closest atoms and distances in Å follow each position.
Fractional coordinates of all 14 atoms:
Pr (0.1427, 0.2636, 0.3142)  3 Pt 2.85-3.06
Pr (0.2204, 0.6858, 0.7364)  3 Pt 2.85-3.06
Pr (0.2636, 0.1427, 0.7796)  3 Pt 2.85-3.06
Pr (0.3142, 0.7796, 0.1427)  3 Pt 2.85-3.06
Pr (0.6858, 0.2204, 0.8573)  3 Pt 2.85-3.06
Pr (0.7364, 0.8573, 0.2204)  3 Pt 2.85-3.06
Pr (0.7796, 0.3142, 0.2636)  3 Pt 2.85-3.06
Pr (0.8573, 0.7364, 0.6858)  3 Pt 2.85-3.06
Mg (0.3750, 0.3750, 0.3750)  8 Pr 3.27-3.65
Mg (0.6250, 0.6250, 0.6250)  8 Pr 3.27-3.65
Pt (0.0000, 0.0000, 0.0000)  6 Pr 2.85-3.06
Pt (0.0000, 0.0000, 0.5000)  6 Pr 2.85-3.06
Pt (0.0000, 0.5000, 0.0000)  6 Pr 2.85-3.06
Pt (0.5000, 0.0000, 0.0000)  6 Pr 2.85-3.06

Summary:
- SG: Fddd, No. 70
- Crystal system: orthorhombic
- Magnetization: 0.00 μB per formula unit
- ΔH_f (0 K): -3.37 eV per formula unit